First-principles (GGA-PBE) data for an optimized crystal structure of Ca2CrTeC, as listed in Alexandria via LeMat-Bulk.

Computed properties:
Space-group type ... No. 123
Density of states at the Fermi level ... 1.3 states/eV/f.u.
Calculated volume ... 110 Å³ per cell
Uncorrected formation energy ... -184 kJ/mol of formula units
Uncorrected energy ... -5.579 eV per atom

Cell and atoms, written as POSCAR:
```
Ca2CrTeC
1.0
5.2184 0.0000 0.0000
0.0000 5.2184 0.0000
0.0000 0.0000 4.0344
Ca Te C Cr
2 1 1 1
Direct
0.5000 0.0000 0.0000 Ca
0.0000 0.5000 0.0000 Ca
0.5000 0.5000 0.5000 Te
0.0000 0.0000 0.0000 C
0.0000 0.0000 0.5000 Cr
```

---

First-principles (GGA-PBE) data for an optimized crystal structure of CaTiCrC2, as listed in Alexandria via LeMat-Bulk.

Computed properties:
Space-group type ... No. 123
Density of states at the Fermi level ... 8.0 states/eV/f.u.
Calculated volume ... 84 Å³ per cell
Formation energy from the elements ... 3.1978 eV per atom
Uncorrected energy ... -4.396 eV per atom

Cell and atoms, written as POSCAR:
```
CaTiCrC2
1.0
-3.0443 -2.7820 -0.9559
3.2116 -3.4417 -0.2117
-0.5732 -0.7883 4.1196
Ti C Ca Cr
1 2 1 1
Direct
0.0000 0.5000 0.0000 Ti
0.5000 0.0000 0.0000 C
0.0000 0.0000 0.5000 C
0.0000 0.0000 0.0000 Ca
0.5000 0.5000 0.5000 Cr
```

---

First-principles (GGA-PBE) data for an optimized crystal structure of Ca2YCrC, as listed in Alexandria via LeMat-Bulk.

Computed properties:
Space-group type ... No. 123
Density of states at the Fermi level ... 2.5 states/eV/f.u.
Calculated volume ... 128 Å³ per cell
Formation energy from the elements ... 0.3650 eV per atom
Uncorrected energy ... -5.498 eV per atom

Cell and atoms, written as POSCAR:
```
Ca2YCrC
1.0
-1.2553 3.5929 -3.3798
-4.7380 -1.3090 0.3682
-0.6292 3.3424 3.7869
Ca C Cr Y
2 1 1 1
Direct
0.5000 0.0000 0.0000 Ca
0.0000 0.0000 0.5000 Ca
0.0000 0.0000 0.0000 C
0.5000 0.5000 0.5000 Cr
0.0000 0.5000 0.0000 Y
```

---

First-principles (GGA-PBE) data for an optimized crystal structure of CsCa2C4, as listed in Alexandria via LeMat-Bulk.

Computed properties:
Space-group type ... No. 139
Density of states at the Fermi level ... 5.3 states/eV/f.u.
Calculated volume ... 136 Å³ per cell
Formation energy from the elements ... 2.6680 eV per atom
Uncorrected energy ... -3.297 eV per atom

Cell and atoms, written as POSCAR:
```
CsCa2C4
1.0
4.5916 0.0000 0.0000
0.0000 4.5916 0.0000
2.2958 2.2958 6.4574
Cs C Ca
1 4 2
Direct
0.0000 0.0000 0.0000 Cs
0.8238 0.8238 0.3525 C
0.0000 0.5000 0.0000 C
0.1762 0.1762 0.6475 C
0.5000 0.0000 0.0000 C
0.3677 0.3677 0.2647 Ca
0.6323 0.6323 0.7353 Ca
```

---

First-principles (GGA-PBE) data for an optimized crystal structure of CsCaCO3F, as listed in Alexandria via LeMat-Bulk.

Computed properties:
Space-group type ... No. 189
Density of states at the Fermi level ... 0.0 states/eV/f.u.
Calculated volume ... 353 Å³ per cell
Uncorrected formation energy ... -1641 kJ/mol of formula units
Uncorrected energy ... -6.548 eV per atom

Cell and atoms, written as POSCAR:
```
CsCaCO3F
1.0
-2.8298 3.5918 -0.5323
0.3870 -1.0790 -9.3387
-6.6117 -4.4708 4.9823
F O Cs C Ca
3 9 3 3 3
Direct
0.5000 0.6176 0.0000 F
0.5000 0.0000 0.6176 F
0.5000 0.3824 0.3824 F
0.0000 0.6867 0.4806 O
0.0000 0.8619 0.0000 O
0.0000 0.3133 0.7939 O
0.0000 0.4806 0.6867 O
0.0000 0.7939 0.3133 O
0.0000 0.0000 0.8619 O
0.0000 0.5194 0.2061 O
0.0000 0.1381 0.1381 O
0.0000 0.2061 0.5194 O
0.5000 0.7180 0.7180 Cs
0.5000 0.0000 0.2820 Cs
0.5000 0.2820 0.0000 Cs
0.0000 0.3333 0.6667 C
0.0000 0.6667 0.3333 C
0.0000 0.0000 0.0000 C
0.0000 0.0000 0.6155 Ca
0.0000 0.3845 0.3845 Ca
0.0000 0.6155 0.0000 Ca
```

---

First-principles (GGA-PBE) data for an optimized crystal structure of CsCaC2N, as listed in Alexandria via LeMat-Bulk.

Computed properties:
Space-group type ... No. 123
Density of states at the Fermi level ... 4.0 states/eV/f.u.
Calculated volume ... 86 Å³ per cell
Uncorrected formation energy ... 1289 kJ/mol of formula units
Uncorrected energy ... -3.253 eV per atom

Cell and atoms, written as POSCAR:
```
CsCaC2N
1.0
4.3372 0.0000 0.0000
0.0000 4.5844 0.0000
0.0000 0.0000 4.3372
Ca C N Cs
1 2 1 1
Direct
0.5000 0.5000 0.5000 Ca
0.5000 0.0000 0.0000 C
0.0000 0.0000 0.5000 C
0.0000 0.0000 0.0000 N
0.0000 0.5000 0.0000 Cs
```

---

First-principles (GGA-PBE) data for an optimized crystal structure of CsCaC2O6, as listed in Alexandria via LeMat-Bulk.

Computed properties:
Space-group type ... No. 15
Density of states at the Fermi level ... 5.6 states/eV/f.u.
Calculated volume ... 348 Å³ per cell
Uncorrected formation energy ... -1774 kJ/mol of formula units
Uncorrected energy ... -6.944 eV per atom

Cell and atoms, written as POSCAR:
```
CsCaC2O6
1.0
6.9698 0.1215 -0.1153
-0.7327 6.9322 -0.1153
-1.9214 -2.1730 7.2551
O C Cs Ca
12 4 2 2
Direct
0.6977 0.6862 0.2690 O
0.3206 0.9904 0.7077 O
0.4427 0.7667 0.0734 O
0.9904 0.3206 0.2077 O
0.2333 0.5573 0.4266 O
0.5573 0.2333 0.9266 O
0.6862 0.6977 0.7690 O
0.3138 0.3023 0.2310 O
0.6794 0.0096 0.2923 O
0.0096 0.6794 0.7923 O
0.3023 0.3138 0.7310 O
0.7667 0.4427 0.5734 O
0.1796 0.3933 0.2888 C
0.8204 0.6067 0.7112 C
0.3933 0.1796 0.7888 C
0.6067 0.8204 0.2112 C
0.8883 0.1117 0.7500 Cs
0.1117 0.8883 0.2500 Cs
0.6615 0.3385 0.2500 Ca
0.3385 0.6615 0.7500 Ca
```

---

First-principles (GGA-PBE) data for an optimized crystal structure of CsCa3C4O12, as listed in Alexandria via LeMat-Bulk.

Computed properties:
Space-group type ... No. 155
Density of states at the Fermi level ... 11.8 states/eV/f.u.
Calculated volume ... 296 Å³ per cell
Uncorrected formation energy ... -3925 kJ/mol of formula units
Uncorrected energy ... -7.197 eV per atom

Cell and atoms, written as POSCAR:
```
CsCa3C4O12
1.0
-2.4517 6.2301 0.9782
-3.5624 -1.7101 -5.4924
-3.5833 -3.3162 4.6845
Ca O C Cs
3 12 4 1
Direct
0.4588 0.0000 0.5412 Ca
0.0000 0.5412 0.4588 Ca
0.5412 0.4588 0.0000 Ca
0.9070 0.5000 0.0930 O
0.5659 0.7996 0.9897 O
0.4341 0.0103 0.2004 O
0.5000 0.0930 0.9070 O
0.0930 0.9070 0.5000 O
0.0103 0.2004 0.4341 O
0.2004 0.4341 0.0103 O
0.5000 0.3740 0.6260 O
0.6260 0.5000 0.3740 O
0.7996 0.9897 0.5659 O
0.3740 0.6260 0.5000 O
0.9897 0.5659 0.7996 O
0.5000 0.5000 0.5000 C
0.9658 0.0342 0.5000 C
0.0342 0.5000 0.9658 C
0.5000 0.9658 0.0342 C
0.0000 0.0000 0.0000 Cs
```

---

First-principles (GGA-PBE) data for an optimized crystal structure of CsCa2RhC, as listed in Alexandria via LeMat-Bulk.

Computed properties:
Space-group type ... No. 123
Density of states at the Fermi level ... 1.7 states/eV/f.u.
Calculated volume ... 188 Å³ per cell
Formation energy from the elements ... 1.1626 eV per atom
Uncorrected energy ... -3.124 eV per atom

Cell and atoms, written as POSCAR:
```
CsCa2RhC
1.0
5.3579 0.0000 0.0000
0.0000 6.5609 0.0000
0.0000 0.0000 5.3579
Ca C Cs Rh
2 1 1 1
Direct
0.5000 0.0000 0.0000 Ca
0.0000 0.0000 0.5000 Ca
0.5000 0.5000 0.5000 C
0.0000 0.5000 0.0000 Cs
0.0000 0.0000 0.0000 Rh
```

---

First-principles (GGA-PBE) data for an optimized crystal structure of Cs2CaScC, as listed in Alexandria via LeMat-Bulk.

Computed properties:
Space-group type ... No. 123
Density of states at the Fermi level ... 5.5 states/eV/f.u.
Calculated volume ... 356 Å³ per cell
Formation energy from the elements ... 1.9373 eV per atom
Uncorrected energy ... -1.916 eV per atom

Cell and atoms, written as POSCAR:
```
Cs2CaScC
1.0
7.5375 0.0000 0.0000
0.0000 6.2728 0.0000
0.0000 0.0000 7.5375
Sc Cs Ca C
1 2 1 1
Direct
0.0000 0.0000 0.0000 Sc
0.0000 0.0000 0.5000 Cs
0.5000 0.0000 0.0000 Cs
0.0000 0.5000 0.0000 Ca
0.5000 0.5000 0.5000 C
```

---

First-principles (GGA-PBE) data for an optimized crystal structure of CaCuC3, as listed in Alexandria via LeMat-Bulk.

Computed properties:
Space-group type ... No. 221
Density of states at the Fermi level ... 3.5 states/eV/f.u.
Calculated volume ... 85 Å³ per cell
Formation energy from the elements ... 3.5387 eV per atom
Uncorrected energy ... -3.215 eV per atom

Cell and atoms, written as POSCAR:
```
CaCuC3
1.0
4.3887 0.0000 0.0000
0.0000 4.3887 0.0000
0.0000 0.0000 4.3887
Cu C Ca
1 3 1
Direct
0.5000 0.5000 0.5000 Cu
0.5000 0.0000 0.0000 C
0.0000 0.5000 0.0000 C
0.0000 0.0000 0.5000 C
0.0000 0.0000 0.0000 Ca
```

---

First-principles (GGA-PBE) data for an optimized crystal structure of CaCuC2, as listed in Alexandria via LeMat-Bulk.

Computed properties:
Space-group type ... No. 141
Density of states at the Fermi level ... 1.6 states/eV/f.u.
Calculated volume ... 105 Å³ per cell
Formation energy from the elements ... 0.9711 eV per atom
Uncorrected energy ... -5.165 eV per atom

Cell and atoms, written as POSCAR:
```
CaCuC2
1.0
3.9734 0.0000 0.0000
0.0000 3.9734 0.0000
1.9867 1.9867 6.6344
C Cu Ca
4 2 2
Direct
0.8750 0.1251 0.7500 C
0.8749 0.6250 0.2500 C
0.8751 0.1250 0.2500 C
0.3750 0.1249 0.7500 C
0.0000 0.0000 0.0000 Cu
0.7500 0.2500 0.5000 Cu
0.5000 0.5000 0.0000 Ca
0.2500 0.7500 0.5000 Ca
```